Entry 1:
# LaEuPd4, optimized geometry, DFT PBE-GGA
# - SG = No. 216
# - E (eV/atom) = -6.7601
# - formation energy (eV per atom) = -0.76
data_LaEuPd4
_chemical_formula_sum 'La1 Eu1 Pd4'
_symmetry_space_group_name_H-M 'P 1'
_symmetry_Int_Tables_number 1
_symmetry_space_group_name_Hall 'P 1'
_cell_length_a 5.550
_cell_length_b 5.550
_cell_length_c 5.550
_cell_angle_alpha 60.00
_cell_angle_beta 60.00
_cell_angle_gamma 60.00
loop_
_atom_site_label
_atom_site_type_symbol
_atom_site_fract_x
_atom_site_fract_y
_atom_site_fract_z
_atom_site_occupancy
Eu1 Eu 0.000 0.000 0.000 1
Pd1 Pd 0.124 0.625 0.625 1
La1 La 0.250 0.250 0.250 1
Pd2 Pd 0.625 0.124 0.625 1
Pd3 Pd 0.625 0.625 0.124 1
Pd4 Pd 0.625 0.625 0.625 1

Entry 2:
# LaEuPd6, optimized geometry, DFT PBE-GGA
# - SG = No. 123
# - E (eV/atom) = -6.4561
# - formation energy (eV per atom) = -0.66
data_LaEuPd6
_chemical_formula_sum 'La1 Eu1 Pd6'
_symmetry_space_group_name_H-M 'P 1'
_symmetry_Int_Tables_number 1
_symmetry_space_group_name_Hall 'P 1'
_cell_length_a 4.219
_cell_length_b 4.219
_cell_length_c 8.410
_cell_angle_alpha 90.00
_cell_angle_beta 90.00
_cell_angle_gamma 90.00
loop_
_atom_site_label
_atom_site_type_symbol
_atom_site_fract_x
_atom_site_fract_y
_atom_site_fract_z
_atom_site_occupancy
Pd1 Pd 0.000 0.500 0.250 1
Pd2 Pd 0.000 0.500 0.750 1
Pd3 Pd 0.500 0.500 0.000 1
Pd4 Pd 0.500 0.000 0.750 1
Pd5 Pd 0.500 0.500 0.500 1
La1 La 0.000 0.000 0.500 1
Pd6 Pd 0.500 0.000 0.250 1
Eu1 Eu 0.000 0.000 0.000 1

Entry 3:
# La2EuPd, optimized geometry, DFT PBE-GGA
# - SG = No. 123
# - E (eV/atom) = -6.6660
# - formation energy (eV per atom) = -0.34
# - offset from the most stable computed form (eV per atom) = 0.000
data_La2EuPd
_chemical_formula_sum 'La2 Eu1 Pd1'
_symmetry_space_group_name_H-M 'P 1'
_symmetry_Int_Tables_number 1
_symmetry_space_group_name_Hall 'P 1'
_cell_length_a 3.775
_cell_length_b 3.775
_cell_length_c 9.084
_cell_angle_alpha 90.00
_cell_angle_beta 90.00
_cell_angle_gamma 90.00
loop_
_atom_site_label
_atom_site_type_symbol
_atom_site_fract_x
_atom_site_fract_y
_atom_site_fract_z
_atom_site_occupancy
La1 La 0.000 0.000 0.188 1
La2 La 0.000 0.000 0.812 1
Eu1 Eu 0.500 0.500 0.500 1
Pd1 Pd 0.500 0.500 0.000 1

Entry 4:
# LaEuPdPt, optimized geometry, DFT PBE-GGA
# - SG = No. 216
# - E (eV/atom) = -7.5026
# - formation energy (eV per atom) = -0.89
data_LaEuPdPt
_chemical_formula_sum 'La1 Eu1 Pd1 Pt1'
_symmetry_space_group_name_H-M 'P 1'
_symmetry_Int_Tables_number 1
_symmetry_space_group_name_Hall 'P 1'
_cell_length_a 5.139
_cell_length_b 5.139
_cell_length_c 5.139
_cell_angle_alpha 60.00
_cell_angle_beta 60.00
_cell_angle_gamma 60.00
loop_
_atom_site_label
_atom_site_type_symbol
_atom_site_fract_x
_atom_site_fract_y
_atom_site_fract_z
_atom_site_occupancy
La1 La 0.500 0.500 0.500 1
Pt1 Pt 0.750 0.750 0.750 1
Pd1 Pd 0.250 0.250 0.250 1
Eu1 Eu 0.000 0.000 0.000 1

Entry 5:
# LaEuSbPd, optimized geometry, DFT PBE-GGA
# - SG = No. 216
# - uncorrected formation energy (eV/atom) = -0.859
# - E (eV/atom) = -6.9879
data_LaEuSbPd
_chemical_formula_sum 'La1 Eu1 Sb1 Pd1'
_symmetry_space_group_name_H-M 'P 1'
_symmetry_Int_Tables_number 1
_symmetry_space_group_name_Hall 'P 1'
_cell_length_a 5.396
_cell_length_b 5.396
_cell_length_c 5.396
_cell_angle_alpha 60.00
_cell_angle_beta 60.00
_cell_angle_gamma 60.00
loop_
_atom_site_label
_atom_site_type_symbol
_atom_site_fract_x
_atom_site_fract_y
_atom_site_fract_z
_atom_site_occupancy
Sb1 Sb 0.000 0.000 0.000 1
Eu1 Eu 0.250 0.250 0.250 1
Pd1 Pd 0.500 0.500 0.500 1
La1 La 0.750 0.750 0.750 1

Entry 6:
# LaEuSnPd, optimized geometry, DFT PBE-GGA
# - SG = No. 216
# - E (eV/atom) = -6.7665
# - formation energy (eV per atom) = -0.67
data_LaEuSnPd
_chemical_formula_sum 'La1 Eu1 Sn1 Pd1'
_symmetry_space_group_name_H-M 'P 1'
_symmetry_Int_Tables_number 1
_symmetry_space_group_name_Hall 'P 1'
_cell_length_a 5.398
_cell_length_b 5.398
_cell_length_c 5.398
_cell_angle_alpha 60.00
_cell_angle_beta 60.00
_cell_angle_gamma 60.00
loop_
_atom_site_label
_atom_site_type_symbol
_atom_site_fract_x
_atom_site_fract_y
_atom_site_fract_z
_atom_site_occupancy
Pd1 Pd 0.750 0.750 0.750 1
Sn1 Sn 0.250 0.250 0.250 1
Eu1 Eu 0.000 0.000 0.000 1
La1 La 0.500 0.500 0.500 1

Entry 7:
# LaEuTlPd, optimized geometry, DFT PBE-GGA
# - SG = No. 216
# - E (eV/atom) = -6.1735
# - formation energy (eV per atom) = -0.48
data_LaEuTlPd
_chemical_formula_sum 'La1 Eu1 Tl1 Pd1'
_symmetry_space_group_name_H-M 'P 1'
_symmetry_Int_Tables_number 1
_symmetry_space_group_name_Hall 'P 1'
_cell_length_a 5.408
_cell_length_b 5.408
_cell_length_c 5.408
_cell_angle_alpha 60.00
_cell_angle_beta 60.00
_cell_angle_gamma 60.00
loop_
_atom_site_label
_atom_site_type_symbol
_atom_site_fract_x
_atom_site_fract_y
_atom_site_fract_z
_atom_site_occupancy
Pd1 Pd 0.250 0.250 0.250 1
Eu1 Eu 0.500 0.500 0.500 1
La1 La 0.000 0.000 0.000 1
Tl1 Tl 0.750 0.750 0.750 1

Entry 8:
# LaEuZnPd, optimized geometry, DFT PBE-GGA
# - SG = No. 216
# - E (eV/atom) = -5.9103
# - formation energy (eV per atom) = -0.49
data_LaEuZnPd
_chemical_formula_sum 'La1 Eu1 Zn1 Pd1'
_symmetry_space_group_name_H-M 'P 1'
_symmetry_Int_Tables_number 1
_symmetry_space_group_name_Hall 'P 1'
_cell_length_a 5.231
_cell_length_b 5.231
_cell_length_c 5.231
_cell_angle_alpha 60.00
_cell_angle_beta 60.00
_cell_angle_gamma 60.00
loop_
_atom_site_label
_atom_site_type_symbol
_atom_site_fract_x
_atom_site_fract_y
_atom_site_fract_z
_atom_site_occupancy
Zn1 Zn 0.000 0.000 0.000 1
Eu1 Eu 0.750 0.750 0.750 1
La1 La 0.250 0.250 0.250 1
Pd1 Pd 0.500 0.500 0.500 1

Entry 9:
# La2PmEu, optimized geometry, DFT PBE-GGA
# - SG = No. 225
# - E (eV/atom) = -6.1034
# - formation energy (eV per atom) = 0.12
# - offset from the most stable computed form (eV per atom) = 0.083
data_La2PmEu
_chemical_formula_sum 'La2 Pm1 Eu1'
_symmetry_space_group_name_H-M 'P 1'
_symmetry_Int_Tables_number 1
_symmetry_space_group_name_Hall 'P 1'
_cell_length_a 5.963
_cell_length_b 5.963
_cell_length_c 5.963
_cell_angle_alpha 60.00
_cell_angle_beta 60.00
_cell_angle_gamma 60.00
loop_
_atom_site_label
_atom_site_type_symbol
_atom_site_fract_x
_atom_site_fract_y
_atom_site_fract_z
_atom_site_occupancy
Eu1 Eu 0.000 0.000 0.000 1
Pm1 Pm 0.500 0.500 0.500 1
La1 La 0.250 0.250 0.250 1
La2 La 0.750 0.750 0.750 1

Entry 10:
# LaPm2Eu, optimized geometry, DFT PBE-GGA
# - SG = No. 123
# - E (eV/atom) = -6.1310
# - formation energy (eV per atom) = 0.04
# - offset from the most stable computed form (eV per atom) = 0.000
data_LaPm2Eu
_chemical_formula_sum 'La1 Pm2 Eu1'
_symmetry_space_group_name_H-M 'P 1'
_symmetry_Int_Tables_number 1
_symmetry_space_group_name_Hall 'P 1'
_cell_length_a 3.730
_cell_length_b 3.730
_cell_length_c 10.528
_cell_angle_alpha 90.00
_cell_angle_beta 90.00
_cell_angle_gamma 90.00
loop_
_atom_site_label
_atom_site_type_symbol
_atom_site_fract_x
_atom_site_fract_y
_atom_site_fract_z
_atom_site_occupancy
La1 La 0.500 0.500 0.000 1
Eu1 Eu 0.500 0.500 0.500 1
Pm1 Pm 0.000 0.000 0.240 1
Pm2 Pm 0.000 0.000 0.760 1

Entry 11:
# La2PmEu, optimized geometry, DFT PBE-GGA
# - SG = No. 123
# - E (eV/atom) = -6.1584
# - formation energy (eV per atom) = 0.06
# - offset from the most stable computed form (eV per atom) = 0.028
data_La2PmEu
_chemical_formula_sum 'La2 Pm1 Eu1'
_symmetry_space_group_name_H-M 'P 1'
_symmetry_Int_Tables_number 1
_symmetry_space_group_name_Hall 'P 1'
_cell_length_a 5.207
_cell_length_b 5.319
_cell_length_c 5.319
_cell_angle_alpha 90.00
_cell_angle_beta 90.00
_cell_angle_gamma 90.00
loop_
_atom_site_label
_atom_site_type_symbol
_atom_site_fract_x
_atom_site_fract_y
_atom_site_fract_z
_atom_site_occupancy
Pm1 Pm 0.500 0.000 0.000 1
Eu1 Eu 0.500 0.500 0.500 1
La1 La 0.000 0.000 0.500 1
La2 La 0.000 0.500 0.000 1

Entry 12:
# LaPmEu2, optimized geometry, DFT PBE-GGA
# - SG = No. 123
# - E (eV/atom) = -7.4599
# - formation energy (eV per atom) = 0.10
# - offset from the most stable computed form (eV per atom) = 0.026
data_LaPmEu2
_chemical_formula_sum 'La1 Pm1 Eu2'
_symmetry_space_group_name_H-M 'P 1'
_symmetry_Int_Tables_number 1
_symmetry_space_group_name_Hall 'P 1'
_cell_length_a 5.398
_cell_length_b 5.303
_cell_length_c 5.303
_cell_angle_alpha 90.00
_cell_angle_beta 90.00
_cell_angle_gamma 90.00
loop_
_atom_site_label
_atom_site_type_symbol
_atom_site_fract_x
_atom_site_fract_y
_atom_site_fract_z
_atom_site_occupancy
Pm1 Pm 0.500 0.000 0.000 1
Eu1 Eu 0.000 0.500 0.000 1
La1 La 0.500 0.500 0.500 1
Eu2 Eu 0.000 0.000 0.500 1